Entry 1:
{
  "formula": "Ga2AgRu",
  "functional": "PBE",
  "state": "relaxed",
  "lattice": [[-1.8845, 2.2625, 0.3862], [-0.9336, 0.7055, 2.7294], [5.5346, 6.2350, 1.8970]],
  "species": ["Ag", "Ga", "Ga", "Ru"],
  "frac_coords": [[0.5008, 0.5008, 0.4975], [0.0757, 0.0757, 0.7730], [0.2571, 0.2571, 0.2286], [0.6664, 0.6664, 0.0009]],
  "polymorph_energy_ev_per_fu": 0.17,
  "dft_energy_ev_per_cell": -18.6,
  "e_form_ev_per_atom": -0.11,
  "n_ef_per_ev_cell": 1.9
}

Entry 2:
{
  "formula": "Sr2Ga3Ge",
  "functional": "PBE",
  "state": "relaxed",
  "lattice": [[-5.0408, 3.8179, 1.1763], [-0.0148, -2.8142, 5.7836], [7.1512, 4.8034, -0.8867]],
  "species": ["Sr", "Ga", "Sr", "Ga", "Ge", "Ga", "Ga", "Ga", "Ga", "Sr", "Ge", "Sr"],
  "frac_coords": [[0.2560, 0.7440, 0.0000], [0.8350, 0.8350, 0.1659], [0.2500, 0.7500, 0.5000], [0.8346, 0.8346, 0.6693], [0.3329, 0.3329, 0.6657], [0.1650, 0.1650, 0.8341], [0.1654, 0.1654, 0.3307], [0.6691, 0.6691, 0.8341], [0.3309, 0.3309, 0.1659], [0.7440, 0.2560, 0.0000], [0.6671, 0.6671, 0.3343], [0.7500, 0.2500, 0.5000]],
  "polymorph_energy_ev_per_fu": 0.00,
  "dft_energy_ev_per_cell": -40.6,
  "e_form_ev_per_atom": -0.54,
  "n_ef_per_ev_cell": 4.3
}

Entry 3:
{
  "formula": "AsPtI2N",
  "functional": "PBE",
  "state": "relaxed",
  "lattice": [[5.7606, 0.0000, 0.0000], [0.0000, 5.7606, 0.0000], [0.0000, 0.0000, 3.5735]],
  "species": ["As", "Pt", "I", "N", "I"],
  "frac_coords": [[0.0000, 0.0000, 0.0000], [0.5000, 0.5000, 0.5000], [0.5000, 0.0000, 0.0000], [0.0000, 0.0000, 0.5000], [0.0000, 0.5000, 0.0000]],
  "polymorph_energy_ev_per_fu": 1.90,
  "dft_energy_ev_per_cell": -16.5,
  "n_ef_per_ev_cell": 5.4
}

Entry 4:
{
  "formula": "PuUPa",
  "functional": "PBE",
  "state": "relaxed",
  "lattice": [[-2.6210, 1.1604, 1.7087], [-0.5297, -3.0459, 1.2560], [5.1690, 2.2302, 3.1556]],
  "species": ["Pu", "Pa", "U"],
  "frac_coords": [[0.0143, 0.0143, 0.0286], [0.3331, 0.3331, 0.6663], [0.6525, 0.6525, 0.3051]],
  "polymorph_energy_ev_per_fu": 0.30,
  "dft_energy_ev_per_cell": -34.6,
  "e_form_ev_per_atom": 0.18,
  "n_ef_per_ev_cell": 7.6
}

Entry 5:
{
  "formula": "CoCu2Mo",
  "functional": "PBE",
  "state": "relaxed",
  "lattice": [[8.8187, -0.0006, -0.0004], [8.4293, 2.5916, -0.0004], [8.4293, 1.2663, 2.2612]],
  "species": ["Cu", "Co", "Cu", "Mo"],
  "frac_coords": [[0.4956, 0.4956, 0.4956], [0.7500, 0.7500, 0.7500], [0.0044, 0.0044, 0.0044], [0.2500, 0.2500, 0.2500]],
  "polymorph_energy_ev_per_fu": 0.56,
  "dft_energy_ev_per_cell": -24.9,
  "e_form_ev_per_atom": 0.30,
  "n_ef_per_ev_cell": 3.8
}

Entry 6:
{
  "formula": "ReP2Pt",
  "functional": "PBE",
  "state": "relaxed",
  "lattice": [[3.3710, 0.0000, 0.0000], [0.0000, 3.3710, 0.0000], [0.0000, 0.0000, 5.0688]],
  "species": ["Re", "Pt", "P", "P"],
  "frac_coords": [[0.5000, 0.5000, 0.8019], [0.0000, 0.0000, 0.4340], [0.0000, 0.0000, 0.9518], [0.5000, 0.5000, 0.3123]],
  "polymorph_energy_ev_per_fu": 0.48,
  "dft_energy_ev_per_cell": -29.7,
  "e_form_ev_per_atom": -0.10,
  "n_ef_per_ev_cell": 1.8
}

Entry 7:
{
  "formula": "Ac2LaO",
  "functional": "PBE",
  "state": "relaxed",
  "lattice": [[-3.6922, 1.0063, -0.1390], [-2.5032, -1.5610, 2.4417], [-0.2419, 7.4361, 7.5091]],
  "species": ["Ac", "La", "Ac", "O"],
  "frac_coords": [[0.1185, 0.1185, 0.6446], [0.0000, 0.0000, 0.0000], [0.8815, 0.8815, 0.3554], [0.5000, 0.5000, 0.5000]],
  "dft_energy_ev_per_cell": -22.2,
  "n_ef_per_ev_cell": 5.4
}

Entry 8:
{
  "formula": "PaTiTe2",
  "functional": "PBE",
  "state": "relaxed",
  "lattice": [[-2.4702, -2.2998, 0.8268], [-1.1353, -2.2618, -2.3812], [5.8412, -8.0597, 2.3353]],
  "species": ["Te", "Pa", "Ti", "Te"],
  "frac_coords": [[0.1043, 0.1043, 0.6870], [0.0000, 0.0000, 0.0000], [0.5000, 0.5000, 0.5000], [0.8957, 0.8957, 0.3130]],
  "polymorph_energy_ev_per_fu": 1.42,
  "dft_energy_ev_per_cell": -24.5,
  "n_ef_per_ev_cell": 7.3
}

Entry 9:
{
  "formula": "LiMg3Zr",
  "functional": "PBE",
  "state": "relaxed",
  "lattice": [[-0.9038, 3.1074, -3.4177], [-4.3345, -1.7743, -0.4669], [-1.5966, 3.0577, 3.2024]],
  "species": ["Mg", "Mg", "Zr", "Mg", "Li"],
  "frac_coords": [[0.0000, 0.0000, 0.5000], [0.5000, 0.0000, 0.0000], [0.5000, 0.5000, 0.5000], [0.0000, 0.5000, 0.0000], [0.0000, 0.0000, 0.0000]],
  "polymorph_energy_ev_per_fu": 1.36,
  "dft_energy_ev_per_cell": -13.5,
  "e_form_ev_per_atom": 0.34,
  "n_ef_per_ev_cell": 2.5
}

Entry 10:
{
  "formula": "Co2Pt9Au",
  "functional": "PBE",
  "state": "relaxed",
  "lattice": [[3.9241, 0.0000, 0.0000], [0.0000, 3.9241, 0.0000], [0.0000, 0.0000, 11.8527]],
  "species": ["Pt", "Au", "Pt", "Pt", "Co", "Co", "Pt", "Pt", "Pt", "Pt", "Pt", "Pt"],
  "frac_coords": [[0.5000, 0.5000, 0.0000], [0.0000, 0.0000, 0.0000], [0.5000, 0.5000, 0.6611], [0.5000, 0.5000, 0.3389], [0.0000, 0.0000, 0.3343], [0.0000, 0.0000, 0.6657], [0.0000, 0.5000, 0.5000], [0.5000, 0.0000, 0.8223], [0.5000, 0.0000, 0.5000], [0.5000, 0.0000, 0.1777], [0.0000, 0.5000, 0.8223], [0.0000, 0.5000, 0.1777]],
  "dft_energy_ev_per_cell": -72.2,
  "e_form_ev_per_atom": -0.03,
  "n_ef_per_ev_cell": 18.9
}

Entry 11:
{
  "formula": "Ti4ZnAu7",
  "functional": "PBE",
  "state": "relaxed",
  "lattice": [[4.8444, 0.0000, 0.0000], [2.4222, 8.3313, 0.0235], [2.4222, 0.3780, 5.5586]],
  "species": ["Ti", "Au", "Zn", "Au", "Au", "Au", "Au", "Ti", "Ti", "Ti", "Au", "Au"],
  "frac_coords": [[0.2621, 0.3223, 0.1534], [0.2037, 0.0884, 0.5041], [0.0000, 0.0000, 0.0000], [0.7962, 0.9116, 0.4959], [0.3610, 0.5405, 0.7375], [0.6390, 0.4595, 0.2625], [0.9264, 0.3435, 0.8038], [0.4222, 0.7751, 0.3805], [0.5778, 0.2249, 0.6195], [0.7379, 0.6777, 0.8466], [0.5000, 0.0000, 0.0000], [0.0736, 0.6565, 0.1962]],
  "dft_energy_ev_per_cell": -57.8,
  "e_form_ev_per_atom": -0.17,
  "n_ef_per_ev_cell": 9.6
}

Entry 12:
{
  "formula": "Ti2Bi2Mo",
  "functional": "PBE",
  "state": "relaxed",
  "lattice": [[-1.6206, 2.5700, 1.9294], [-3.0320, -1.9389, 0.0358], [0.1425, -3.4153, 8.0261]],
  "species": ["Bi", "Ti", "Ti", "Bi", "Mo"],
  "frac_coords": [[0.4009, 0.4009, 0.1983], [0.2500, 0.7500, 0.5000], [0.7500, 0.2500, 0.5000], [0.5991, 0.5991, 0.8017], [0.0000, 0.0000, 0.0000]],
  "polymorph_energy_ev_per_fu": 1.43,
  "dft_energy_ev_per_cell": -31.3,
  "e_form_ev_per_atom": 0.62,
  "n_ef_per_ev_cell": 5.4
}

Which formula does entry 7 have? Ac2LaO